Here is a relaxed CuSb crystal from Alexandria. Energies are from PBE.

Output
M_tot (μB/f.u.): 0.0
Formation energy from raw total energies (eV/atom): 0.146
N(E_F) (states/eV/cell): 0.822
SG: R-3m (166)
Mass density (g/cm³): 7.70

The structure in POSCAR format:
```
CuSb
1.0
-1.848 -2.710 -2.179
-0.205 -3.803 1.002
-3.340 -1.760 1.120
Cu Sb
1 1
Cartesian
0.000 0.000 0.000
-2.696 -4.136 -0.028
```

---

Here is a relaxed NdSm6Y3Ho2 crystal from Alexandria. Energies are from PBE.

Output
M_tot (μB/f.u.): 0.0
Formation energy from the elements (eV/atom): 0.0142
N(E_F) (states/eV/cell): 15.322
SG: C2/m (12)
Mass density (g/cm³): 6.90

The structure in POSCAR format:
```
NdSm6Y3Ho2
1.0
-5.597 0.049 2.763
5.047 -1.791 3.208
1.955 11.656 1.412
Sm Ho Y Nd
6 2 3 1
Cartesian
2.129 2.173 1.925
0.076 1.610 4.829
-1.427 2.787 1.777
2.832 7.127 5.606
-0.725 7.742 5.458
1.328 8.304 2.554
-2.049 -0.565 2.911
1.498 -1.177 3.060
-2.843 5.570 3.543
4.247 4.345 3.840
0.702 4.957 3.691
0.000 0.000 0.000
```

---

Here is a relaxed Na7Hg2 crystal from Alexandria. Energies are from PBE.

Output
M_tot (μB/f.u.): 0.0
Formation energy from the elements (eV/atom): -0.0822
N(E_F) (states/eV/cell): 4.346
SG: P-31m (162)
Mass density (g/cm³): 3.34

The structure in POSCAR format:
```
Na7Hg2
1.0
6.220 0.000 0.000
-3.110 5.387 0.000
0.000 0.000 8.330
Hg Na
2 7
Cartesian
0.000 3.591 0.000
3.110 1.796 0.000
4.052 0.000 2.629
2.169 0.000 5.701
0.000 0.000 0.000
-2.026 3.509 2.629
2.026 3.509 5.701
-1.084 1.878 5.701
1.084 1.878 2.629
```

---

Here is a relaxed Al2CuW crystal from Alexandria. Energies are from PBE.

Output
M_tot (μB/f.u.): 0.0
Formation energy from the elements (eV/atom): 0.0046
N(E_F) (states/eV/cell): 1.651
E above lowest polymorph (meV per atom): 94
SG: C2/m (12)
Mass density (g/cm³): 8.49

The structure in POSCAR format:
```
Al2CuW
1.0
5.069 0.010 -0.024
-2.046 4.638 -0.024
0.583 0.896 2.495
Cu Al W
1 2 1
Cartesian
2.826 0.453 1.236
0.000 0.000 0.000
1.511 2.324 -0.024
-0.732 2.767 1.236
```

---

Here is a relaxed HoTh3Tl12 crystal from Alexandria. Energies are from PBE.

Output
M_tot (μB/f.u.): 0.0
Formation energy from the elements (eV/atom): -0.1680
N(E_F) (states/eV/cell): 7.450
SG: P4/mmm (123)
Mass density (g/cm³): 12.37

The structure in POSCAR format:
```
HoTh3Tl12
1.0
-4.610 -0.876 -0.862
0.298 -4.044 2.515
-4.885 9.734 16.228
Tl Th Ho
12 3 1
Cartesian
-1.678 1.618 7.326
-3.368 -0.045 4.852
-2.898 0.743 1.538
-4.599 2.407 8.940
-6.598 8.115 13.828
-4.144 6.531 15.516
-2.910 4.072 11.417
-0.444 -0.841 3.226
-2.156 -2.460 0.826
-4.132 3.202 5.637
-5.364 5.656 9.728
-5.830 4.860 13.029
-2.443 4.867 8.114
-3.672 7.316 12.196
-1.214 2.418 4.031
0.000 0.000 0.000
```

---

Here is a relaxed KTePt2 crystal from Alexandria. Energies are from PBE.

Output
M_tot (μB/f.u.): 0.0
Formation energy from raw total energies (eV/atom): -0.116
N(E_F) (states/eV/cell): 2.049
SG: Pm (6)
Mass density (g/cm³): 9.03

The structure in POSCAR format:
```
KTePt2
1.0
4.271 0.000 0.000
0.000 3.405 -0.309
0.000 0.647 6.985
K Pt Te
1 2 1
Cartesian
2.135 3.474 5.103
0.000 3.061 0.574
2.135 1.401 1.210
0.000 1.548 2.818
```

---

Copy entry 4 word for word.
Here is a relaxed Al2CuW crystal from Alexandria. Energies are from PBE.

Output
M_tot (μB/f.u.): 0.0
Formation energy from the elements (eV/atom): 0.0046
N(E_F) (states/eV/cell): 1.651
E above lowest polymorph (meV per atom): 94
SG: C2/m (12)
Mass density (g/cm³): 8.49

The structure in POSCAR format:
```
Al2CuW
1.0
5.069 0.010 -0.024
-2.046 4.638 -0.024
0.583 0.896 2.495
Cu Al W
1 2 1
Cartesian
2.826 0.453 1.236
0.000 0.000 0.000
1.511 2.324 -0.024
-0.732 2.767 1.236
```